Here is a relaxed AcTb2Ho3 crystal from the Alexandria database. Energies are from GGA-PBE.

Summary:
- Calculated formation energy: 14 kJ per mole of atoms
- Relative energy among the computed polymorphs: 3.7 kJ/mol of atoms
- DOS(E_F): 8.93 states/eV/f.u.

Cell: 11.6838 11.6838 10.5160 Å, 108.78 108.78 17.59°
With the nearest neighbours (Å) after each atom.
Element x y z (fractional)
Ac (0.1802, 0.1802, 0.0363)  3 Tb 3.49-3.74, 5 Ho 3.55-3.75, 2 Ac 3.57
Ac (0.8198, 0.8198, 0.9637)  3 Tb 3.49-3.74, 5 Ho 3.55-3.75, 2 Ac 3.57
Tb (0.1919, 0.1919, 0.3759)  4 Ho 3.36-3.51, 1 Ac 3.49, 6 Tb 3.56-3.61
Tb (0.4364, 0.4364, 0.8503)  3 Ho 3.51-3.61, 5 Tb 3.54-3.61, 2 Ac 3.74
Tb (0.5636, 0.5636, 0.1497)  3 Ho 3.51-3.61, 5 Tb 3.54-3.61, 2 Ac 3.74
Tb (0.8081, 0.8081, 0.6241)  4 Ho 3.36-3.51, 1 Ac 3.49, 6 Tb 3.56-3.61
Ho (0.0595, 0.0595, 0.4449)  8 Ho 3.31-3.61, 3 Tb 3.36-3.61
Ho (0.1956, 0.1956, 0.7110)  5 Ho 3.46-3.60, 3 Tb 3.50-3.51, 3 Ac 3.55-3.68
Ho (0.4331, 0.4331, 0.2515)  8 Ho 3.46-3.61, 1 Tb 3.51, 2 Ac 3.75
Ho (0.5669, 0.5669, 0.7485)  8 Ho 3.46-3.61, 1 Tb 3.51, 2 Ac 3.75
Ho (0.8044, 0.8044, 0.2890)  5 Ho 3.46-3.60, 3 Tb 3.50-3.51, 3 Ac 3.55-3.68
Ho (0.9405, 0.9405, 0.5551)  8 Ho 3.31-3.61, 3 Tb 3.36-3.61